Entry 1:
Entry from Alexandria: SrLaY2Pd after structural relaxation (GGA-PBE).

Computed properties:
* E_form: -0.189 eV per atom
* calculated density: 4.6 g/cm3
* volume: 36.61 Å³ per atom
* DFT total energy: -5.1354 eV/atom

Geometry as POSCAR:
```
SrLaY2Pd
1.0
5.701 0.000 0.000
0.000 5.701 0.000
0.000 0.000 5.634
Y Sr Pd La
2 1 1 1
Cartesian
0.000 2.850 0.000
2.850 0.000 0.000
2.850 2.850 2.817
0.000 0.000 0.000
0.000 0.000 2.817
```

=====

Entry 2:
Entry from Alexandria: SrLa2ZnPd after structural relaxation (GGA-PBE).

Computed properties:
* E_form: 0.834 eV per atom
* calculated density: 4.9 g/cm3
* volume: 36.21 Å³ per atom
* DFT total energy: -2.7669 eV/atom

Geometry as POSCAR:
```
SrLa2ZnPd
1.0
6.007 0.000 0.000
0.000 5.016 0.000
0.000 0.000 6.007
Sr Zn Pd La
1 1 1 2
Cartesian
0.000 0.000 0.000
3.004 2.508 3.004
0.000 2.508 0.000
0.000 0.000 3.004
3.004 0.000 0.000
```

=====

Entry 3:
Entry from Alexandria: LaTa2Pd2 after structural relaxation (GGA-PBE).

Computed properties:
* E_form: -0.181 eV per atom
* calculated density: 11.3 g/cm3
* volume: 21.02 Å³ per atom
* DFT total energy: -7.9843 eV/atom

Geometry as POSCAR:
```
LaTa2Pd2
1.0
3.921 0.000 0.000
0.000 3.921 0.000
1.960 1.960 6.835
La Pd Ta
1 2 2
Cartesian
0.000 0.000 0.000
1.960 1.960 1.400
3.921 3.921 5.436
3.921 1.960 3.418
1.960 3.921 3.418
```

=====

Entry 4:
Entry from Alexandria: La3TaPd12 after structural relaxation (GGA-PBE).

Computed properties:
* E_form: -0.713 eV per atom
* calculated density: 10.8 g/cm3
* volume: 18.05 Å³ per atom
* DFT total energy: -6.2722 eV/atom

Geometry as POSCAR:
```
La3TaPd12
1.0
4.165 0.000 0.000
0.000 4.165 0.000
0.000 0.000 16.648
La Ta Pd
3 1 12
Cartesian
0.000 0.000 4.101
0.000 0.000 8.324
0.000 0.000 12.547
0.000 0.000 0.000
2.082 2.082 0.000
2.082 2.082 3.970
2.082 2.082 8.324
2.082 2.082 12.678
2.082 0.000 1.814
2.082 0.000 6.168
2.082 0.000 10.480
2.082 0.000 14.834
0.000 2.082 1.814
0.000 2.082 6.168
0.000 2.082 10.480
0.000 2.082 14.834
```

=====

Entry 5:
Entry from Alexandria: LaTaPd3 after structural relaxation (GGA-PBE).

Computed properties:
* E_form: 0.044 eV per atom
* calculated density: 8.9 g/cm3
* volume: 23.92 Å³ per atom
* ΔE to the lowest computed polymorph: 0.0000 eV per atom
* DFT total energy: -6.4279 eV/atom

Geometry as POSCAR:
```
LaTaPd3
1.0
-4.019 -0.158 2.845
2.498 -2.562 3.387
1.371 4.206 2.170
La Pd Ta
1 3 1
Cartesian
-0.075 0.743 4.201
1.249 -1.281 1.693
0.685 2.103 1.085
-2.010 -0.079 1.423
0.000 0.000 0.000
```

=====

Entry 6:
Entry from Alexandria: LaTaPd2 after structural relaxation (GGA-PBE).

Computed properties:
* E_form: -0.079 eV per atom
* calculated density: 10.8 g/cm3
* volume: 20.55 Å³ per atom
* ΔE to the lowest computed polymorph: 0.0000 eV per atom
* DFT total energy: -6.8704 eV/atom

Geometry as POSCAR:
```
LaTaPd2
1.0
-4.779 -0.859 0.497
-3.242 2.854 -2.273
-2.571 -1.745 -3.764
La Pd Ta
1 2 1
Cartesian
0.000 0.000 0.000
-2.648 0.063 -1.385
-7.943 0.188 -4.155
-5.296 0.125 -2.770
```

=====

Entry 7:
Entry from Alexandria: La2TaPd after structural relaxation (GGA-PBE).

Computed properties:
* E_form: 0.346 eV per atom
* calculated density: 9.1 g/cm3
* volume: 25.71 Å³ per atom
* ΔE to the lowest computed polymorph: 0.1612 eV per atom
* DFT total energy: -6.3792 eV/atom

Geometry as POSCAR:
```
La2TaPd
1.0
8.122 0.000 0.000
0.000 8.122 0.000
4.061 4.061 3.118
La Pd Ta
4 2 2
Cartesian
5.918 2.031 0.779
2.204 6.092 0.779
6.092 6.265 2.338
10.153 9.979 2.338
4.061 4.061 0.000
4.061 8.122 1.559
0.000 0.000 0.000
8.122 4.061 1.559
```

=====

Entry 8:
Entry from Alexandria: LaTa2Pd after structural relaxation (GGA-PBE).

Computed properties:
* E_form: 0.402 eV per atom
* calculated density: 13.1 g/cm3
* volume: 19.22 Å³ per atom
* ΔE to the lowest computed polymorph: 0.0000 eV per atom
* DFT total energy: -8.0544 eV/atom

Geometry as POSCAR:
```
LaTa2Pd
1.0
0.000 3.375 3.375
3.375 0.000 3.375
3.375 3.375 0.000
La Pd Ta
1 1 2
Cartesian
3.375 3.375 3.375
0.000 0.000 0.000
1.687 1.687 1.687
5.062 5.062 5.062
```

=====

Total magnetic moment for every record listed, in sequence, given in Bohr magnetons per cell: 0.0, 0.0, 0.0, 0.0, 0.0, 0.0, 0.0, 0.0.